The following is a DFT calculation (meta-GGA SCAN) of Hf2NiIBr at its PBEsol-relaxed geometry.

* Fermi-level density of states: 5.0 states/eV/cell
* formation energy without anion corrections: 1.25 eV/atom
* mass density: 8427 kg/m³

a = 5.2675 Å, b = 5.2675 Å, c = 4.4209 Å
α = 90.00°, β = 90.00°, γ = 90.00°
Space group P4/mmm (No. 123)
Asymmetric unit:
Hf (0.0000, 0.5000, 0.0000) (multiplicity 2)
Ni (0.0000, 0.0000, 0.5000) (multiplicity 1)
I (0.0000, 0.0000, 0.0000) (multiplicity 1)
Br (0.5000, 0.5000, 0.5000) (multiplicity 1)



The following is a DFT calculation (meta-GGA SCAN) of ZrTaCr2Cu at its PBEsol-relaxed geometry.

* Fermi-level density of states: 4.6 states/eV/cell
* formation energy from the elements: 172 kJ per mole of atoms
* mass density: 8393 kg/m³

a = 4.3552 Å, b = 4.3552 Å, c = 4.5866 Å
α = 90.00°, β = 90.00°, γ = 90.00°
Space group P4/mmm (No. 123)
Asymmetric unit:
Zr (0.0000, 0.0000, 0.0000) (multiplicity 1)
Ta (0.5000, 0.5000, 0.5000) (multiplicity 1)
Cr (0.0000, 0.5000, 0.0000) (multiplicity 2)
Cu (0.0000, 0.0000, 0.5000) (multiplicity 1)



The following is a DFT calculation (meta-GGA SCAN) of MgInCu2 at its PBEsol-relaxed geometry.

* Fermi-level density of states: 0.9 states/eV/cell
* formation energy from the elements: -5 kJ per mole of atoms
* mass density: 6930 kg/m³

a = 3.1297 Å, b = 3.1297 Å, c = 6.5121 Å
α = 90.00°, β = 90.00°, γ = 90.00°
Space group P4mm (No. 99)
Asymmetric unit:
Mg (0.0000, 0.0000, 0.0000) (multiplicity 1)
In (0.5000, 0.5000, 0.6682) (multiplicity 1)
Cu (0.0000, 0.0000, 0.4145) (multiplicity 1)
Cu (0.5000, 0.5000, 0.2413) (multiplicity 1)



The following is a DFT calculation (meta-GGA SCAN) of K3SnTe at its PBEsol-relaxed geometry.

* Fermi-level density of states: 2.1 states/eV/cell
* formation energy without anion corrections: -0.08 eV/atom
* mass density: 2265 kg/m³

a = 6.4360 Å, b = 6.4360 Å, c = 6.4360 Å
α = 90.00°, β = 90.00°, γ = 90.00°
Space group Pm-3m (No. 221)
Asymmetric unit:
K (0.0000, 0.0000, 0.5000) (multiplicity 3)
Sn (0.0000, 0.0000, 0.0000) (multiplicity 1)
Te (0.5000, 0.5000, 0.5000) (multiplicity 1)



The following is a DFT calculation (meta-GGA SCAN) of Cd2HPd at its PBEsol-relaxed geometry.

* Fermi-level density of states: 3.3 states/eV/cell
* mass density: 9411 kg/m³

a = 6.4853 Å, b = 6.4853 Å, c = 5.5754 Å
α = 90.00°, β = 90.00°, γ = 90.00°
Space group I-42d (No. 122)
Asymmetric unit:
Cd (0.1764, 0.2500, 0.1250) (multiplicity 8)
H (0.0000, 0.0000, 0.0000) (multiplicity 4)
Pd (0.0000, 0.0000, 0.5000) (multiplicity 4)



The following is a DFT calculation (meta-GGA SCAN) of Ca2AlBi at its PBEsol-relaxed geometry.

* Fermi-level density of states: 9.0 states/eV/cell
* formation energy from the elements: -43 kJ per mole of atoms
* mass density: 4736 kg/m³

a = 7.6254 Å, b = 7.6254 Å, c = 7.6254 Å
α = 90.00°, β = 90.00°, γ = 90.00°
Space group Fm-3m (No. 225)
Asymmetric unit:
Ca (0.2500, 0.2500, 0.2500) (multiplicity 8)
Al (0.0000, 0.0000, 0.0000) (multiplicity 4)
Bi (0.0000, 0.0000, 0.5000) (multiplicity 4)



The following is a DFT calculation (meta-GGA SCAN) of CaY2P at its PBEsol-relaxed geometry.

* Fermi-level density of states: 8.7 states/eV/cell
* formation energy from the elements: -83 kJ per mole of atoms
* mass density: 3395 kg/m³

a = 3.8515 Å, b = 3.8515 Å, c = 28.4289 Å
α = 90.00°, β = 90.00°, γ = 120.00°
Space group R-3m (No. 166, hexagonal axes)
Asymmetric unit:
Ca (0.0000, 0.0000, 0.0000) (multiplicity 3)
Y (0.0000, 0.0000, 0.2212) (multiplicity 6)
P (0.0000, 0.0000, 0.5000) (multiplicity 3)



The following is a DFT calculation (meta-GGA SCAN) of HfTiPCl2 at its PBEsol-relaxed geometry.

* Fermi-level density of states: 3.3 states/eV/cell
* formation energy without anion corrections: -0.25 eV/atom
* mass density: 5441 kg/m³

a = 4.4375 Å, b = 4.4375 Å, c = 5.0875 Å
α = 90.00°, β = 90.00°, γ = 90.00°
Space group P4/mmm (No. 123)
Asymmetric unit:
Hf (0.0000, 0.0000, 0.0000) (multiplicity 1)
Ti (0.5000, 0.5000, 0.5000) (multiplicity 1)
P (0.5000, 0.5000, 0.0000) (multiplicity 1)
Cl (0.0000, 0.5000, 0.5000) (multiplicity 2)



The following is a DFT calculation (meta-GGA SCAN) of LaNb2Co at its PBEsol-relaxed geometry.

* Fermi-level density of states: 14.0 states/eV/cell
* formation energy from the elements: 53 kJ per mole of atoms
* mass density: 9328 kg/m³

a = 6.4887 Å, b = 6.4887 Å, c = 6.4887 Å
α = 90.00°, β = 90.00°, γ = 90.00°
Space group Fm-3m (No. 225)
Asymmetric unit:
La (0.0000, 0.0000, 0.0000) (multiplicity 4)
Nb (0.2500, 0.2500, 0.2500) (multiplicity 8)
Co (0.0000, 0.0000, 0.5000) (multiplicity 4)



The following is a DFT calculation (meta-GGA SCAN) of Sr2IrSe at its PBEsol-relaxed geometry.

* Fermi-level density of states: 6.8 states/eV/cell
* formation energy without anion corrections: -0.79 eV/atom
* mass density: 7213 kg/m³

a = 4.2845 Å, b = 4.3378 Å, c = 11.0595 Å
α = 90.00°, β = 90.00°, γ = 90.00°
Space group Amm2 (No. 38)
Asymmetric unit:
Sr (0.0000, 0.0000, 0.0000) (multiplicity 2)
Sr (0.5000, 0.0000, 0.2800) (multiplicity 2)
Ir (0.0000, 0.0000, 0.7044) (multiplicity 2)
Se (0.5000, 0.0000, 0.5746) (multiplicity 2)



The following is a DFT calculation (meta-GGA SCAN) of CsFeOs3 at its PBEsol-relaxed geometry.

* Fermi-level density of states: 4.3 states/eV/cell
* formation energy from the elements: 225 kJ per mole of atoms
* mass density: 13280 kg/m³

a = 4.5623 Å, b = 4.5623 Å, c = 4.5623 Å
α = 90.00°, β = 90.00°, γ = 90.00°
Space group Pm-3m (No. 221)
Asymmetric unit:
Cs (0.0000, 0.0000, 0.0000) (multiplicity 1)
Fe (0.5000, 0.5000, 0.5000) (multiplicity 1)
Os (0.0000, 0.5000, 0.5000) (multiplicity 3)



The following is a DFT calculation (meta-GGA SCAN) of Mg3CrGa at its PBEsol-relaxed geometry.

* Fermi-level density of states: 1.7 states/eV/cell
* formation energy from the elements: 41 kJ per mole of atoms
* mass density: 2609 kg/m³

a = 4.9852 Å, b = 4.9852 Å, c = 4.9852 Å
α = 90.00°, β = 90.00°, γ = 90.00°
Space group Pm-3m (No. 221)
Asymmetric unit:
Mg (0.0000, 0.0000, 0.5000) (multiplicity 3)
Cr (0.5000, 0.5000, 0.5000) (multiplicity 1)
Ga (0.0000, 0.0000, 0.0000) (multiplicity 1)



Number 1: energy -38.2909 eV/atom. Number 2: energy -28.0680 eV/atom. Number 3: energy -17.2413 eV/atom. Number 4: energy -19.7120 eV/atom. Number 5: energy -24.1451 eV/atom. Number 6: energy -26.8608 eV/atom. Number 7: energy -19.7944 eV/atom. Number 8: energy -21.2634 eV/atom. Number 9: energy -31.1226 eV/atom. Number 10: energy -34.7220 eV/atom. Number 11: energy -51.9837 eV/atom. Number 12: energy -9.5043 eV/atom.